1.
# CaTe2P (GGA-PBE, optimized geometry)
# Crystal system: trigonal
# Energy relative to the elements, uncorrected (eV per atom): -0.039
# DOS(E_F) (states/eV per atom): 0.405
# Size of the total moment (Bohr magnetons per cell): 0.0
data_CaTe2P
_cell_length_a 4.0969
_cell_length_b 4.0969
_cell_length_c 27.4962
_cell_angle_alpha 90.00
_cell_angle_beta 90.00
_cell_angle_gamma 120.00
_space_group_name_H-M_alt 'R -3 m'
_space_group_IT_number 166
_space_group_name_Hall '-R 3 2"'
loop_
_atom_site_label
_atom_site_fract_x
_atom_site_fract_y
_atom_site_fract_z
_atom_site_occupancy
Ca1 0.0000 0.0000 0.0000 1
Te1 0.0000 0.0000 0.1116 1
P1 0.0000 0.0000 0.5000 1

***

2.
# AlZn2Cl (GGA-PBE, optimized geometry)
# Crystal system: orthorhombic
# Energy relative to the elements, uncorrected (eV per atom): -0.001
# DOS(E_F) (states/eV per atom): 0.256
# Size of the total moment (Bohr magnetons per cell): 0.0
# Energy relative to the lowest polymorph listed for this composition (eV/f.u.): 0.57
data_AlZn2Cl
_cell_length_a 3.0420
_cell_length_b 4.6814
_cell_length_c 10.8407
_cell_angle_alpha 90.00
_cell_angle_beta 90.00
_cell_angle_gamma 90.00
_space_group_name_H-M_alt 'I m m m'
_space_group_IT_number 71
_space_group_name_Hall '-I 2 2'
loop_
_atom_site_label
_atom_site_fract_x
_atom_site_fract_y
_atom_site_fract_z
_atom_site_occupancy
Al1 0.0000 0.0000 0.0000 1
Zn1 0.0000 0.5000 0.2808 1
Cl1 0.0000 0.0000 0.5000 1

***

3.
# BaTe2IN (GGA-PBE, optimized geometry)
# Crystal system: tetragonal
# Energy relative to the elements, uncorrected (eV per atom): 0.836
# DOS(E_F) (states/eV per atom): 0.592
# Size of the total moment (Bohr magnetons per cell): 6.0
# Energy relative to the lowest polymorph listed for this composition (eV/f.u.): 4.67
data_BaTe2IN
_cell_length_a 6.9978
_cell_length_b 6.9978
_cell_length_c 6.7574
_cell_angle_alpha 90.00
_cell_angle_beta 90.00
_cell_angle_gamma 90.00
_space_group_name_H-M_alt 'P 4/m m m'
_space_group_IT_number 123
_space_group_name_Hall '-P 4 2'
loop_
_atom_site_label
_atom_site_fract_x
_atom_site_fract_y
_atom_site_fract_z
_atom_site_occupancy
Ba1 0.0000 0.0000 0.0000 1
Te1 0.0000 0.5000 0.0000 1
I1 0.0000 0.0000 0.5000 1
N1 0.5000 0.5000 0.5000 1

***

4.
# Nd2EuSn (GGA-PBE, optimized geometry)
# Crystal system: cubic
# DOS(E_F) (states/eV per atom): 1.541
# Energy relative to the elements (kJ/mol of atoms): -28.2
# Size of the total moment (Bohr magnetons per cell): 30.4
# Energy relative to the lowest polymorph listed for this composition (eV/f.u.): 0.49
data_Nd2EuSn
_cell_length_a 7.9132
_cell_length_b 7.9132
_cell_length_c 7.9132
_cell_angle_alpha 90.00
_cell_angle_beta 90.00
_cell_angle_gamma 90.00
_space_group_name_H-M_alt 'F m -3 m'
_space_group_IT_number 225
_space_group_name_Hall '-F 4 2 3'
loop_
_atom_site_label
_atom_site_fract_x
_atom_site_fract_y
_atom_site_fract_z
_atom_site_occupancy
Nd1 0.2500 0.2500 0.2500 1
Eu1 0.0000 0.0000 0.0000 1
Sn1 0.0000 0.0000 0.5000 1